1.
Compound: Na4ZnIn2Ag
Source: the Open Quantum Materials Database
Functional: GGA-PBE
Structure: optimized geometry

Geometry as POSCAR:
```
Na4ZnIn2Ag
1.0
5.0580 0.0000 0.0000
0.0000 5.0580 0.0000
0.0000 0.0000 7.1696
Na Zn In Ag
4 1 2 1
direct
0.0000 0.0000 0.0000
0.0000 0.5000 0.2494
0.5000 0.0000 0.7506
0.5000 0.5000 0.5000
0.5000 0.5000 0.0000
0.0000 0.5000 0.7552
0.5000 0.0000 0.2448
0.0000 0.0000 0.5000
```

Calculated values
The value obtained for the raw total energy is -15.3 eV/cell.

2.
Compound: Sm3In3Cu2Pd
Source: the Open Quantum Materials Database
Functional: GGA-PBE
Structure: optimized geometry

Geometry as POSCAR:
```
Sm3In3Cu2Pd
1.0
7.5965 0.0000 0.0000
-3.7982 6.5787 0.0000
0.0000 0.0000 4.0325
Sm In Cu Pd
3 3 2 1
direct
0.0000 0.5877 0.0000
0.4123 0.4123 0.0000
0.5877 0.0000 0.0000
0.0000 0.2565 0.5000
0.2565 0.0000 0.5000
0.7435 0.7435 0.5000
0.3333 0.6667 0.5000
0.6667 0.3333 0.5000
0.0000 0.0000 0.0000
```

Calculated values
The value obtained for the raw total energy is -39.7 eV/cell.

3.
Compound: BiTeW
Source: the Open Quantum Materials Database
Functional: GGA-PBE
Structure: optimized geometry

Geometry as POSCAR:
```
BiTeW
1.0
6.8283 0.0000 0.0000
0.0000 6.8283 0.0000
0.0000 0.0000 6.8283
Bi Te W
4 4 4
direct
0.0000 0.0000 0.0000
0.0000 0.5000 0.5000
0.5000 0.0000 0.5000
0.5000 0.5000 0.0000
0.0000 0.0000 0.5000
0.0000 0.5000 0.0000
0.5000 0.0000 0.0000
0.5000 0.5000 0.5000
0.2500 0.2500 0.2500
0.2500 0.7500 0.7500
0.7500 0.2500 0.7500
0.7500 0.7500 0.2500
```

Calculated values
The polymorph energy (0 for the lowest one) is 0.000 eV per atom.